GGA-PBE NaGe2Pt, relaxed; energy of formation = -0.65 eV per formula unit; crystal system = tetragonal; total magnetization = 0.00 μB/f.u.; SG = I-42d, No. 122; E = -4.312 eV/atom
1.0
-3.890 3.890 2.785
3.890 -3.890 2.785
3.890 3.890 -2.785
Na Ge Pt
2 4 2
Direct
0.000 0.000 0.000 Na
0.750 0.250 0.500 Na
0.193 0.625 0.068 Ge
0.375 0.443 0.568 Ge
0.557 0.125 0.932 Ge
0.875 0.807 0.432 Ge
0.250 0.750 0.500 Pt
0.500 0.500 0.000 Pt

GGA-PBE Al2HgGe, relaxed; energy of formation = 0.82 eV per formula unit; crystal system = tetragonal; total magnetization = 0.00 μB/f.u.; SG = P4/mmm, No. 123; E = -2.896 eV/atom
1.0
3.331 0.000 0.000
0.000 3.331 0.000
0.000 0.000 7.025
Al Hg Ge
2 1 1
Direct
0.000 0.000 0.221 Al
0.000 0.000 0.779 Al
0.500 0.500 0.500 Hg
0.500 0.500 0.000 Ge

GGA-PBE Dy4Ho3TmS8, relaxed; crystal system = trigonal; E_form (uncorrected) = -190.45 kJ/mol of atoms; total magnetization = 0.00 μB/f.u.; SG = R-3m, No. 166; E = -6.326 eV/atom
1.0
3.888 2.245 6.357
-3.888 2.245 6.357
0.000 -4.490 6.357
Dy Ho Tm S
4 3 1 8
Direct
0.000 0.000 0.000 Dy
0.000 0.500 0.500 Dy
0.500 0.000 0.500 Dy
0.500 0.500 0.000 Dy
0.000 0.000 0.500 Ho
0.000 0.500 0.000 Ho
0.500 0.000 0.000 Ho
0.500 0.500 0.500 Tm
0.249 0.249 0.249 S
0.251 0.748 0.748 S
0.252 0.252 0.749 S
0.252 0.749 0.252 S
0.748 0.251 0.748 S
0.748 0.748 0.251 S
0.749 0.252 0.252 S
0.751 0.751 0.751 S

GGA-PBE HfHCl3, relaxed; crystal system = cubic; total magnetization = 0.99 μB/f.u.; SG = Pm-3m, No. 221; offset from the most stable computed form = 613 meV per atom; E = -4.543 eV/atom
1.0
4.966 0.000 0.000
0.000 4.966 0.000
0.000 0.000 4.966
Hf H Cl
1 1 3
Direct
0.000 0.000 0.000 Hf
0.500 0.500 0.500 H
0.000 0.000 0.500 Cl
0.000 0.500 0.000 Cl
0.500 0.000 0.000 Cl

GGA-PBE Ni2BrCl3, relaxed; crystal system = trigonal; E_form (uncorrected) = -50.41 kJ/mol of atoms; total magnetization = 3.98 μB/f.u.; SG = P-3m1, No. 164; E = -3.652 eV/atom
1.0
7.062 0.000 0.000
-3.531 6.116 0.000
0.000 0.000 6.548
Ni Br Cl
4 2 6
Direct
0.000 0.000 0.000 Ni
0.000 0.500 0.000 Ni
0.500 0.000 0.000 Ni
0.500 0.500 0.000 Ni
0.333 0.667 0.771 Br
0.667 0.333 0.229 Br
0.167 0.335 0.195 Cl
0.167 0.833 0.195 Cl
0.335 0.167 0.805 Cl
0.665 0.833 0.195 Cl
0.833 0.167 0.805 Cl
0.833 0.665 0.805 Cl

GGA-PBE Ba2Li2IO6, relaxed; crystal system = monoclinic; E_form (uncorrected) = -157.46 kJ/mol of atoms; total magnetization = 0.44 μB/f.u.; SG = C2/m, No. 12; E = -5.175 eV/atom
1.0
3.257 -5.699 0.000
3.257 5.699 0.000
-1.173 0.000 5.189
Ba Li I O
2 2 1 6
Direct
0.163 0.837 0.000 Ba
0.837 0.163 0.000 Ba
0.396 0.604 0.500 Li
0.604 0.396 0.500 Li
0.500 0.500 0.000 I
0.209 0.471 0.778 O
0.297 0.297 0.235 O
0.471 0.209 0.778 O
0.529 0.791 0.222 O
0.703 0.703 0.765 O
0.791 0.529 0.222 O

GGA-PBE CsNb3Si, relaxed; crystal system = cubic; E_form (uncorrected) = 273.31 kJ/mol of atoms; total magnetization = 0.00 μB/f.u.; SG = Pm-3m, No. 221; offset from the most stable computed form = 1530 meV per atom; E = -4.465 eV/atom
1.0
5.007 0.000 0.000
0.000 5.007 0.000
0.000 0.000 5.007
Cs Nb Si
1 3 1
Direct
0.000 0.000 0.000 Cs
0.000 0.000 0.500 Nb
0.000 0.500 0.000 Nb
0.500 0.000 0.000 Nb
0.500 0.500 0.500 Si

GGA-PBE Ce2GaOs, relaxed; energy of formation = -0.89 eV per formula unit; crystal system = monoclinic; total magnetization = 1.41 μB/f.u.; SG = C2/m, No. 12; E = -6.753 eV/atom
1.0
5.387 -2.446 0.000
5.387 2.446 0.000
-1.601 0.000 3.843
Ce Ga Os
2 1 1
Direct
0.178 0.178 0.178 Ce
0.822 0.822 0.822 Ce
0.500 0.500 0.500 Ga
0.000 0.000 0.500 Os

GGA-PBE ReTe2Rh, relaxed; crystal system = monoclinic; E_form (uncorrected) = 17.19 kJ/mol of atoms; total magnetization = 0.00 μB/f.u.; SG = Pm, No. 6; offset from the most stable computed form = 0 meV per atom; E = -6.343 eV/atom
1.0
2.956 0.000 0.000
0.000 3.878 0.000
-1.403 0.000 8.027
Re Te Rh
1 2 1
Direct
0.000 0.000 0.000 Re
0.160 0.000 0.336 Te
0.885 0.500 0.761 Te
0.571 0.500 0.151 Rh

GGA-PBE RbTa3Mn4Se12, relaxed; crystal system = trigonal; E_form (uncorrected) = -44.08 kJ/mol of atoms; total magnetization = 19.85 μB/f.u.; SG = R32, No. 155; E = -6.208 eV/atom
1.0
7.297 4.213 3.065
-7.297 4.213 3.065
0.000 -8.426 3.065
Rb Ta Mn Se
1 3 4 12
Direct
0.000 0.000 0.000 Rb
0.000 0.556 0.444 Ta
0.444 0.000 0.556 Ta
0.556 0.444 0.000 Ta
0.062 0.500 0.938 Mn
0.500 0.500 0.500 Mn
0.500 0.938 0.062 Mn
0.938 0.062 0.500 Mn
0.064 0.659 0.759 Se
0.106 0.894 0.500 Se
0.241 0.341 0.936 Se
0.331 0.669 0.500 Se
0.341 0.936 0.241 Se
0.500 0.106 0.894 Se
0.500 0.331 0.669 Se
0.659 0.759 0.064 Se
0.669 0.500 0.331 Se
0.759 0.064 0.659 Se
0.894 0.500 0.106 Se
0.936 0.241 0.341 Se

GGA-PBE NiHg2Te, relaxed; crystal system = orthorhombic; E_form (uncorrected) = 11.31 kJ/mol of atoms; total magnetization = 0.00 μB/f.u.; SG = Pmm2, No. 25; E = -2.264 eV/atom
1.0
3.237 0.000 0.000
0.000 3.463 0.000
0.000 0.000 9.651
Ni Hg Te
1 2 1
Direct
0.000 0.000 0.000 Ni
0.000 0.000 0.434 Hg
0.500 0.500 0.717 Hg
0.500 0.500 0.098 Te

GGA-PBE Ac2Tm4Pb3O2, relaxed; crystal system = tetragonal; E_form (uncorrected) = -134.85 kJ/mol of atoms; total magnetization = 1.37 μB/f.u.; SG = I4/mmm, No. 139; E = -5.684 eV/atom
1.0
-2.353 2.353 13.202
2.353 -2.353 13.202
2.353 2.353 -13.202
Ac Tm Pb O
2 4 3 2
Direct
0.197 0.197 0.000 Ac
0.803 0.803 0.000 Ac
0.079 0.579 0.500 Tm
0.421 0.921 0.500 Tm
0.579 0.079 0.500 Tm
0.921 0.421 0.500 Tm
0.334 0.334 0.000 Pb
0.500 0.500 0.000 Pb
0.666 0.666 0.000 Pb
0.087 0.087 0.000 O
0.913 0.913 0.000 O